CrNiAgF6 | GGA+U | optimized geometry

The structure in POSCAR format:
```
CrNiAgF6
1.0
-0.451 -5.289 -0.276
0.267 2.401 4.735
-10.435 0.882 0.141
Cr Ag F Ni
2 2 12 2
Direct
0.667 0.333 0.250
0.333 0.667 0.750
0.000 0.000 0.500
0.000 0.000 0.000
0.638 0.627 0.148
0.373 0.011 0.148
0.011 0.638 0.852
0.627 0.638 0.648
0.011 0.373 0.648
0.362 0.989 0.648
0.362 0.373 0.852
0.989 0.627 0.352
0.989 0.362 0.148
0.627 0.989 0.852
0.638 0.011 0.352
0.373 0.362 0.352
0.333 0.667 0.250
0.667 0.333 0.750
```

The calculation puts the density of states at the Fermi level at 0.000 states/eV/atom. The calculation puts the total energy at -4.85 eV/atom.